# 1
Material: LiCa3As2H
Method: DFT, PBE
State: relaxed

## Properties
Symmetry ... No. 62
Raw total energy ... -3.967 eV/atom
Crystal system ... orthorhombic

Cell: 11.443 4.282 11.884 Å, 90.00 90.00 90.00°
Fractional coordinates of all 28 atoms:
Li: 0.132 0.250 0.139
Li: 0.368 0.750 0.639
Li: 0.632 0.250 0.361
Li: 0.868 0.750 0.861
Ca: 0.060 0.250 0.378
Ca: 0.135 0.750 0.939
Ca: 0.210 0.250 0.704
Ca: 0.290 0.750 0.204
Ca: 0.365 0.250 0.439
Ca: 0.440 0.750 0.878
Ca: 0.560 0.250 0.122
Ca: 0.635 0.750 0.561
Ca: 0.710 0.250 0.796
Ca: 0.790 0.750 0.296
Ca: 0.865 0.250 0.061
Ca: 0.940 0.750 0.622
As: 0.019 0.750 0.176
As: 0.184 0.750 0.513
As: 0.316 0.250 0.013
As: 0.481 0.250 0.676
As: 0.519 0.750 0.324
As: 0.684 0.750 0.987
As: 0.816 0.250 0.487
As: 0.981 0.250 0.824
H: 0.237 0.250 0.279
H: 0.263 0.750 0.779
H: 0.737 0.250 0.221
H: 0.763 0.750 0.721

# 2
Material: BaLa2Rh
Method: DFT, PBE
State: relaxed

## Properties
Symmetry ... No. 8
E_form ... -259 meV per atom
Polymorph energy (0 for the lowest one) ... 156 meV per atom
Crystal system ... monoclinic
DOS at the Fermi energy ... 5.48 states/eV/cell

Cell: 6.601 6.601 6.996 Å, 119.01 119.01 35.08°
Fractional coordinates of all 4 atoms:
Ba: 0.000 0.000 0.000
La: 0.171 0.171 0.653
La: 0.358 0.358 0.359
Rh: 0.738 0.738 0.463

# 3
Material: NdTm2Te
Method: DFT, PBE
State: relaxed

## Properties
Formation energy (no corrections) ... -0.52 eV/atom
Symmetry ... No. 123
Polymorph energy (0 for the lowest one) ... 116 meV per atom
Crystal system ... tetragonal
DOS at the Fermi energy ... 5.24 states/eV/cell

Cell: 3.830 3.830 8.053 Å, 90.00 90.00 90.00°
Fractional coordinates of all 4 atoms:
Nd: 0.000 0.000 0.000
Tm: 0.500 0.500 0.281
Tm: 0.500 0.500 0.719
Te: 0.000 0.000 0.500

# 4
Material: YAl3S
Method: DFT, PBE
State: relaxed

## Properties
Formation energy (no corrections) ... 0.10 eV/atom
Symmetry ... No. 221
Polymorph energy (0 for the lowest one) ... 0 meV per atom
Crystal system ... cubic
DOS at the Fermi energy ... 5.53 states/eV/cell

Cell: 4.803 4.803 4.803 Å, 90.00 90.00 90.00°
Fractional coordinates of all 5 atoms:
Y: 0.000 0.000 0.000
Al: 0.000 0.500 0.500
Al: 0.500 0.000 0.500
Al: 0.500 0.500 0.000
S: 0.500 0.500 0.500

# 5
Material: Sm3RuAu2
Method: DFT, PBE
State: relaxed

## Properties
Symmetry ... No. 10
E_form ... -608 meV per atom
Crystal system ... monoclinic
DOS at the Fermi energy ... 7.70 states/eV/cell

Cell: 5.099 7.286 8.012 Å, 90.00 108.37 90.00°
Fractional coordinates of all 12 atoms:
Sm: 0.000 0.239 0.000
Sm: 0.000 0.761 0.000
Sm: 0.328 0.235 0.657
Sm: 0.328 0.765 0.657
Sm: 0.672 0.235 0.343
Sm: 0.672 0.765 0.343
Ru: 0.170 0.000 0.337
Ru: 0.830 0.000 0.663
Au: 0.164 0.500 0.329
Au: 0.500 0.000 0.000
Au: 0.500 0.500 0.000
Au: 0.836 0.500 0.671